Here is a relaxed CdHgPd2 crystal from the Alexandria database. Energies are from PBE.

The structure in extended XYZ format:
```
8
Lattice="-1.464 5.469 4.788 -6.677 -2.942 1.319 -2.961 -0.302 5.181" Properties=species:S:1:pos:R:3 pbc="T T T"
Pd -9.335 1.989 9.227
Pd -5.283 0.717 6.177
Pd -2.488 2.967 4.446
Pd -5.099 -1.223 2.725
Cd -6.854 -0.990 4.776
Cd -4.071 1.264 3.053
Hg 0.000 0.000 0.000
Hg -4.248 3.216 6.511
```

Values from the calculation:
E_tot, eV per atom: -2.898
Energy of formation, eV per formula unit: 0.0
Total magnetization, μB per cell: 0.000
V, Å³ per cell: 158
Crystal system: tetragonal

Here is a relaxed Cd2Hg2Pd crystal from the Alexandria database. Energies are from PBE.

The structure in extended XYZ format:
```
5
Lattice="3.920 0.000 0.000 0.000 3.920 0.000 1.960 1.960 7.381" Properties=species:S:1:pos:R:3 pbc="T T T"
Hg 1.960 1.960 1.369
Hg 3.920 3.920 6.012
Cd 1.960 3.920 3.691
Cd 3.920 1.960 3.691
Pd 0.000 0.000 0.000
```

Values from the calculation:
E_tot, eV per atom: -1.330
Energy of formation, eV per formula unit: 1.0
Total magnetization, μB per cell: 0.000
E above lowest polymorph, eV per atom: 0.123
V, Å³ per cell: 113
Crystal system: tetragonal

Here is a relaxed CdHgPd5 crystal from the Alexandria database. Energies are from PBE.

The structure in extended XYZ format:
```
7
Lattice="-2.096 -0.087 -4.499 0.958 -4.570 1.685 -5.050 -0.189 2.356" Properties=species:S:1:pos:R:3 pbc="T T T"
Pd -3.326 -2.428 2.618
Pd -1.335 -4.660 0.016
Pd -4.853 -0.186 -0.474
Pd -2.862 -2.419 -3.076
Pd -2.525 -0.095 1.178
Hg -3.094 -2.423 -0.229
Cd 0.000 0.000 0.000
```

Values from the calculation:
E_tot, eV per atom: -3.968
Energy of formation, eV per formula unit: -0.6
Total magnetization, μB per cell: 0.000
V, Å³ per cell: 127
Crystal system: orthorhombic

Here is a relaxed CdHg3Pd6 crystal from the Alexandria database. Energies are from PBE.

The structure in extended XYZ format:
```
20
Lattice="-2.136 -5.145 -0.485 7.586 -3.276 1.350 -3.833 0.894 7.390" Properties=species:S:1:pos:R:3 pbc="T T T"
Pd 3.230 -2.487 4.947
Pd -2.538 -2.965 5.782
Pd 1.978 -5.775 0.442
Pd 6.857 -4.740 1.265
Pd 4.918 -2.725 2.646
Pd -2.408 -1.211 3.569
Pd 2.199 -1.832 2.546
Pd 0.009 -4.273 5.844
Pd 3.776 -6.917 4.630
Pd -0.609 -2.353 7.757
Pd -5.418 -3.220 6.950
Pd -1.022 -3.619 3.442
Cd 4.304 -5.423 2.174
Cd -1.895 -0.197 6.261
Hg -0.118 -0.333 2.299
Hg 0.415 -1.621 4.881
Hg 2.687 -4.901 6.172
Hg 0.530 -3.532 1.149
Hg 1.576 -5.008 3.459
Hg 2.039 -1.702 7.322
```

Values from the calculation:
E_tot, eV per atom: -3.355
Energy of formation, eV per formula unit: -0.6
Total magnetization, μB per cell: 0.000
E above lowest polymorph, eV per atom: 0.145
V, Å³ per cell: 372
Crystal system: orthorhombic

Here is a relaxed Cd2Hg2Pd crystal from the Alexandria database. Energies are from PBE.

The structure in extended XYZ format:
```
10
Lattice="7.272 0.000 0.000 0.000 7.272 0.000 0.000 0.000 4.242" Properties=species:S:1:pos:R:3 pbc="T T T"
Hg 1.061 2.575 0.000
Hg 4.697 1.061 0.000
Hg 2.575 6.210 0.000
Hg 6.210 4.697 0.000
Cd 1.178 4.814 2.121
Cd 2.458 1.178 2.121
Cd 4.814 6.094 2.121
Cd 6.094 2.458 2.121
Pd 0.000 0.000 0.000
Pd 3.636 3.636 0.000
```

Values from the calculation:
E_tot, eV per atom: -1.452
Energy of formation, eV per formula unit: 0.4
Total magnetization, μB per cell: 0.000
E above lowest polymorph, eV per atom: 0.002
V, Å³ per cell: 224
Crystal system: tetragonal

Here is a relaxed Cd7HgPd2 crystal from the Alexandria database. Energies are from PBE.

The structure in extended XYZ format:
```
10
Lattice="5.278 0.000 0.000 0.000 7.653 -0.095 0.000 -3.462 6.826" Properties=species:S:1:pos:R:3 pbc="T T T"
Cd 2.639 2.126 0.420
Cd 2.639 2.065 6.311
Cd 2.639 -0.561 2.093
Cd 0.000 -0.096 4.730
Cd 2.639 2.096 3.365
Cd 0.000 4.288 2.000
Cd 2.639 4.752 4.637
Hg 0.000 0.000 0.000
Pd 2.639 4.386 1.939
Pd 2.639 -0.195 4.792
```

Values from the calculation:
E_tot, eV per atom: -1.771
Energy of formation, eV per formula unit: -0.6
Total magnetization, μB per cell: 0.000
V, Å³ per cell: 274
Crystal system: orthorhombic

Here is a relaxed Cd8HgPd2 crystal from the Alexandria database. Energies are from PBE.

The structure in extended XYZ format:
```
11
Lattice="4.359 0.000 -1.327 -1.102 6.376 -3.621 0.065 0.264 8.036" Properties=species:S:1:pos:R:3 pbc="T T T"
Cd 3.659 4.685 4.198
Cd 1.917 5.664 -1.526
Cd 2.774 5.525 1.291
Cd 0.922 3.767 3.029
Cd 2.399 2.872 0.060
Cd 0.547 1.115 1.797
Cd 1.404 0.976 4.614
Cd -0.338 1.954 -1.110
Pd 3.233 2.148 2.799
Pd 0.088 4.491 0.290
Hg 2.179 0.000 -0.663
```

Values from the calculation:
E_tot, eV per atom: -1.787
Energy of formation, eV per formula unit: -1.6
Total magnetization, μB per cell: 0.000
E above lowest polymorph, eV per atom: 0.000
V, Å³ per cell: 228
Crystal system: orthorhombic

Here is a relaxed PmCdHgPd crystal from the Alexandria database. Energies are from PBE.

The structure in extended XYZ format:
```
4
Lattice="-2.612 -0.611 4.249 -4.636 -1.933 -0.157 -0.857 -4.620 1.780" Properties=species:S:1:pos:R:3 pbc="T T T"
Pm 0.000 0.000 0.000
Pd -6.079 -5.373 4.404
Hg -2.026 -1.791 1.468
Cd -4.052 -3.582 2.936
```

Values from the calculation:
E_tot, eV per atom: -3.280
Energy of formation, eV per formula unit: -2.0
Total magnetization, μB per cell: 0.000
V, Å³ per cell: 90
Crystal system: cubic

Here is a relaxed Pm4CdHg2Pd crystal from the Alexandria database. Energies are from PBE.

The structure in extended XYZ format:
```
8
Lattice="-1.917 -4.195 -2.671 2.200 -1.439 -4.636 5.579 -7.067 1.778" Properties=species:S:1:pos:R:3 pbc="T T T"
Pm 1.009 -4.533 -4.241
Pm 4.853 -8.169 -1.288
Pm 2.430 -7.665 -5.657
Pm 3.432 -5.036 0.129
Hg 4.543 -9.664 -4.034
Hg 1.319 -3.037 -1.495
Pd 2.931 -6.351 -2.764
Cd 0.000 0.000 0.000
```

Values from the calculation:
E_tot, eV per atom: -3.725
Energy of formation, eV per formula unit: -4.1
Total magnetization, μB per cell: 0.000
V, Å³ per cell: 213
Crystal system: trigonal

Here is a relaxed Pr4CdHg2Pd crystal from the Alexandria database. Energies are from PBE.

The structure in extended XYZ format:
```
8
Lattice="-5.077 1.396 -1.219 -3.987 -3.617 0.483 -4.314 1.792 8.041" Properties=species:S:1:pos:R:3 pbc="T T T"
Hg -10.068 -0.255 5.698
Hg -3.311 -0.174 1.607
Cd 0.000 0.000 0.000
Pr -3.808 0.800 4.795
Pr -9.571 -1.229 2.510
Pr -6.236 -1.102 0.749
Pr -7.142 0.673 6.556
Pd -6.689 -0.214 3.653
```

Values from the calculation:
E_tot, eV per atom: -3.719
Energy of formation, eV per formula unit: -3.9
Total magnetization, μB per cell: 0.000
V, Å³ per cell: 222
Crystal system: trigonal

Here is a relaxed PrCdHgPd crystal from the Alexandria database. Energies are from PBE.

The structure in extended XYZ format:
```
4
Lattice="-4.631 1.966 0.644 -1.883 0.576 4.675 -0.532 4.646 1.965" Properties=species:S:1:pos:R:3 pbc="T T T"
Hg -3.523 3.594 3.642
Pr -1.762 1.797 1.821
Cd -5.285 5.391 5.463
Pd 0.000 0.000 0.000
```

Values from the calculation:
E_tot, eV per atom: -3.271
Energy of formation, eV per formula unit: -1.9
Total magnetization, μB per cell: 0.000
V, Å³ per cell: 92
Crystal system: cubic

Here is a relaxed Rb2CdHgPd crystal from the Alexandria database. Energies are from PBE.

The structure in extended XYZ format:
```
5
Lattice="-1.876 5.293 -3.187 -6.178 -1.586 1.003 0.032 2.727 4.511" Properties=species:S:1:pos:R:3 pbc="T T T"
Hg -4.011 3.217 1.164
Cd 0.016 1.364 2.256
Pd 0.000 0.000 0.000
Rb -0.938 2.646 -1.593
Rb -3.089 -0.793 0.502
```

Values from the calculation:
E_tot, eV per atom: -1.715
Energy of formation, eV per formula unit: -0.2
Total magnetization, μB per cell: 0.046
V, Å³ per cell: 220
Crystal system: tetragonal

Here is a relaxed Cd2HgPdRh crystal from the Alexandria database. Energies are from PBE.

The structure in extended XYZ format:
```
5
Lattice="-4.604 -2.371 0.296 1.961 -3.460 2.797 -1.153 2.768 4.232" Properties=species:S:1:pos:R:3 pbc="T T T"
Cd -2.302 -1.185 0.148
Cd -0.577 1.384 2.116
Pd 0.981 -1.730 1.398
Rh 0.000 0.000 0.000
Hg -1.898 -1.531 3.663
```

Values from the calculation:
E_tot, eV per atom: -2.447
Energy of formation, eV per formula unit: 2.4
Total magnetization, μB per cell: 0.000
V, Å³ per cell: 131
Crystal system: tetragonal

Here is a relaxed Cd2HgSbPd crystal from the Alexandria database. Energies are from PBE.

The structure in extended XYZ format:
```
5
Lattice="-1.792 -4.370 2.287 2.126 -2.880 -3.837 4.382 -0.378 2.711" Properties=species:S:1:pos:R:3 pbc="T T T"
Hg 0.000 0.000 0.000
Pd 2.191 -0.189 1.356
Sb 2.358 -3.814 0.580
Cd 1.063 -1.440 -1.919
Cd -0.896 -2.185 1.143
```

Values from the calculation:
E_tot, eV per atom: -1.747
Total magnetization, μB per cell: 0.000
V, Å³ per cell: 142
Crystal system: tetragonal

Here is a relaxed Sc4CdHg2Pd crystal from the Alexandria database. Energies are from PBE.

The structure in extended XYZ format:
```
8
Lattice="4.918 0.000 0.000 2.459 4.259 0.000 2.459 1.420 7.986" Properties=species:S:1:pos:R:3 pbc="T T T"
Hg 7.377 4.259 6.133
Hg 2.459 1.420 1.853
Sc 2.459 1.420 4.869
Sc 7.377 4.259 3.117
Sc 4.918 2.839 6.812
Sc 4.918 2.839 1.174
Pd 4.918 2.839 3.993
Cd 0.000 0.000 0.000
```

Values from the calculation:
E_tot, eV per atom: -4.507
Energy of formation, eV per formula unit: -4.0
Total magnetization, μB per cell: 0.000
V, Å³ per cell: 167
Crystal system: trigonal

Here is a relaxed Cd2SnHgPd crystal from the Alexandria database. Energies are from PBE.

The structure in extended XYZ format:
```
5
Lattice="5.292 0.000 0.000 0.000 5.292 0.000 0.000 0.000 5.039" Properties=species:S:1:pos:R:3 pbc="T T T"
Hg 2.646 2.646 2.519
Sn 0.000 0.000 2.519
Cd 0.000 2.646 0.000
Cd 2.646 0.000 0.000
Pd 0.000 0.000 0.000
```

Values from the calculation:
E_tot, eV per atom: -2.312
Energy of formation, eV per formula unit: -0.2
Total magnetization, μB per cell: 0.000
V, Å³ per cell: 141
Crystal system: tetragonal

Here is a relaxed Sr2CdHg2Pd5 crystal from the Alexandria database. Energies are from PBE.

The structure in extended XYZ format:
```
20
Lattice="3.988 0.000 0.000 0.000 10.382 0.000 0.000 0.000 10.382" Properties=species:S:1:pos:R:3 pbc="T T T"
Hg 0.000 6.515 9.058
Hg 0.000 1.324 6.515
Hg 0.000 3.867 1.324
Hg 0.000 9.058 3.867
Sr 0.000 8.594 6.978
Sr 0.000 6.978 1.787
Sr 0.000 1.787 3.404
Sr 0.000 3.404 8.594
Pd 1.994 7.200 4.597
Pd 1.994 2.010 0.593
Pd 1.994 0.000 5.191
Pd 1.994 9.788 2.010
Pd 1.994 0.593 8.372
Pd 1.994 8.372 9.788
Pd 1.994 4.597 3.181
Pd 1.994 5.784 7.200
Pd 1.994 3.181 5.784
Pd 1.994 5.191 0.000
Cd 0.000 5.191 5.191
Cd 0.000 0.000 0.000
```

Values from the calculation:
E_tot, eV per atom: -3.495
Energy of formation, eV per formula unit: -4.1
Total magnetization, μB per cell: 0.000
V, Å³ per cell: 430
Crystal system: tetragonal

Here is a relaxed SrCdHgPd3 crystal from the Alexandria database. Energies are from PBE.

The structure in extended XYZ format:
```
12
Lattice="-3.901 4.107 -0.883 -1.957 -2.832 -4.528 -4.989 -3.091 7.662" Properties=species:S:1:pos:R:3 pbc="T T T"
Pd -1.467 -2.123 -3.395
Pd -2.440 1.345 -1.574
Pd -0.490 -0.708 -1.133
Pd -3.989 -1.250 2.506
Pd -3.418 -0.070 -3.836
Pd -6.857 -0.566 -0.254
Cd -5.126 0.741 -1.820
Cd -5.720 -2.557 4.072
Sr -4.428 -2.258 -0.246
Sr -6.419 0.442 2.498
Hg -8.602 -1.884 1.324
Hg -2.245 0.068 0.928
```

Values from the calculation:
E_tot, eV per atom: -3.276
Energy of formation, eV per formula unit: -1.2
Total magnetization, μB per cell: 0.000
V, Å³ per cell: 301
Crystal system: orthorhombic

Here is a relaxed Sr2Cd2HgPd5 crystal from the Alexandria database. Energies are from PBE.

The structure in extended XYZ format:
```
20
Lattice="-2.869 -0.440 -2.558 5.810 -6.928 -5.325 -3.976 -7.790 5.798" Properties=species:S:1:pos:R:3 pbc="T T T"
Sr -1.389 -8.696 3.054
Sr 2.121 -10.973 -0.492
Sr 3.224 -6.023 -2.580
Sr -0.287 -3.745 0.966
Pd -0.520 -2.026 -1.994
Pd -1.886 -6.663 0.335
Pd 1.470 -3.684 -3.942
Pd -0.068 -5.653 -1.878
Pd -0.515 -13.132 -0.090
Pd -3.422 -4.115 1.620
Pd -0.967 -9.506 -0.207
Pd 3.262 -8.284 -5.161
Pd 0.851 -8.496 -2.420
Pd -4.297 -6.875 3.076
Cd 3.590 -8.958 -2.486
Cd -1.755 -5.760 2.959
Cd 0.170 -11.145 1.726
Cd 1.665 -3.573 -1.253
Hg 0.917 -7.359 0.237
Hg 0.000 0.000 0.000
```

Values from the calculation:
E_tot, eV per atom: -3.546
Energy of formation, eV per formula unit: -4.0
Total magnetization, μB per cell: 0.000
V, Å³ per cell: 426
Crystal system: tetragonal

Here is a relaxed Sr2CdHg6Pd crystal from the Alexandria database. Energies are from PBE.

The structure in extended XYZ format:
```
20
Lattice="-2.792 0.804 6.646 -7.192 0.273 0.904 -3.628 -12.120 3.900" Properties=species:S:1:pos:R:3 pbc="T T T"
Hg -6.449 -3.691 8.017
Hg -5.359 -10.233 5.052
Hg -4.890 -0.937 5.976
Hg -4.537 -7.035 6.861
Hg -9.075 -4.008 4.589
Hg -6.947 -1.186 3.290
Hg -7.163 -7.352 3.433
Hg -8.253 -0.810 6.398
Hg -8.830 -6.872 7.401
Hg -8.722 -10.106 5.475
Hg -6.665 -9.857 8.160
Hg -4.782 -4.171 4.049
Pd -6.742 -2.843 5.428
Pd -6.870 -8.200 6.022
Cd -6.806 -5.521 5.725
Cd 0.000 0.000 0.000
Sr -3.518 -7.529 3.391
Sr -3.362 -1.043 2.672
Sr -10.250 -10.000 8.778
Sr -10.095 -3.514 8.059
```

Values from the calculation:
E_tot, eV per atom: -1.398
Energy of formation, eV per formula unit: -2.7
Total magnetization, μB per cell: 0.000
V, Å³ per cell: 572
Crystal system: trigonal

Here is a relaxed Sr2Cd6HgPd crystal from the Alexandria database. Energies are from PBE.

The structure in extended XYZ format:
```
20
Lattice="-6.217 1.933 3.055 -3.724 -4.761 3.897 2.817 2.626 12.537" Properties=species:S:1:pos:R:3 pbc="T T T"
Cd -1.284 -1.497 10.216
Cd -4.991 -0.345 12.038
Cd -5.840 1.295 9.273
Cd 0.346 1.754 12.926
Cd -1.237 -0.269 14.582
Cd -2.297 2.576 14.224
Cd -2.134 0.142 7.451
Cd -4.354 -2.696 9.775
Cd -7.470 -1.957 6.563
Cd -4.828 -2.778 5.265
Cd -5.887 0.067 4.907
Cd -2.771 2.493 9.714
Sr -4.787 0.172 15.544
Sr -7.976 -1.684 10.228
Sr -2.338 -0.374 3.945
Sr 0.852 1.482 9.261
Hg -4.928 -0.896 7.469
Hg -2.197 0.694 12.020
Pd 0.000 0.000 0.000
Pd -3.562 -0.101 9.744
```

Values from the calculation:
E_tot, eV per atom: -1.665
Energy of formation, eV per formula unit: -2.3
Total magnetization, μB per cell: 0.000
V, Å³ per cell: 557
Crystal system: trigonal

Here is a relaxed SrCd2HgPd2 crystal from the Alexandria database. Energies are from PBE.

The structure in extended XYZ format:
```
6
Lattice="5.339 0.000 0.000 0.000 5.339 0.000 -2.669 -2.669 5.737" Properties=species:S:1:pos:R:3 pbc="T T T"
Pd 2.669 2.669 3.056
Pd 0.000 0.000 2.681
Sr 2.669 2.669 0.000
Cd 0.000 2.669 2.868
Cd 2.669 0.000 2.868
Hg 0.000 0.000 0.000
```

Values from the calculation:
E_tot, eV per atom: -2.638
Energy of formation, eV per formula unit: -1.6
Total magnetization, μB per cell: 0.000
V, Å³ per cell: 164
Crystal system: tetragonal

| no. | D(E_F) (states/eV per cell) |
| --- | --- |
| 1 | 2.7 |
| 2 | 2.1 |
| 3 | 4.5 |
| 4 | 8.6 |
| 5 | 4.0 |
| 6 | 1.6 |
| 7 | 3.2 |
| 8 | 3.4 |
| 9 | 6.1 |
| 10 | 6.9 |
| 11 | 3.5 |
| 12 | 2.4 |
| 13 | 4.8 |
| 14 | 2.3 |
| 15 | 6.8 |
| 16 | 1.9 |
| 17 | 9.1 |
| 18 | 6.1 |
| 19 | 8.8 |
| 20 | 11.7 |
| 21 | 11.8 |
| 22 | 3.2 |